# 1
VASP calculation (PBE) on crystalline TmZrZnOs at its relaxed geometry.

Values from the calculation:
electronic total energy	-6.7734	eV per atom
ΔH_f (0 K)	-0.393	eV/atom
spin magnetization	0.0000	μB per atom
volume	19.4	Å³/atom

POSCAR file:
```
TmZrZnOs
1.0
3.353 0.000 0.000
0.000 3.353 0.000
0.000 0.000 6.888
Tm Zr Zn Os
1 1 1 1
Direct
0.000 0.000 0.000
0.000 0.000 0.479
0.500 0.500 0.722
0.500 0.500 0.261
```

# 2
VASP calculation (PBE) on crystalline TmZrZnOs at its relaxed geometry.

Values from the calculation:
electronic total energy	-6.7211	eV per atom
ΔH_f (0 K)	-0.340	eV/atom
spin magnetization	0.0000	μB per atom
volume	19.1	Å³/atom

POSCAR file:
```
TmZrZnOs
1.0
6.738 0.000 0.000
0.000 6.738 0.000
0.000 0.000 6.738
Tm Zr Zn Os
4 4 4 4
Direct
0.000 0.000 0.000
0.000 0.500 0.500
0.500 0.000 0.500
0.500 0.500 0.000
0.000 0.000 0.500
0.000 0.500 0.000
0.500 0.000 0.000
0.500 0.500 0.500
0.250 0.250 0.250
0.250 0.750 0.750
0.750 0.250 0.750
0.750 0.750 0.250
0.250 0.250 0.750
0.250 0.750 0.250
0.750 0.250 0.250
0.750 0.750 0.750
```

# 3
VASP calculation (PBE) on crystalline TmZrOs at its relaxed geometry.

Values from the calculation:
electronic total energy	-8.2897	eV per atom
ΔH_f (0 K)	-0.207	eV/atom
spin magnetization	0.0000	μB per atom
volume	23.4	Å³/atom

POSCAR file:
```
TmZrOs
1.0
6.546 0.000 0.000
0.000 6.546 0.000
0.000 0.000 6.546
Tm Zr Os
4 4 4
Direct
0.000 0.000 0.000
0.000 0.500 0.500
0.500 0.000 0.500
0.500 0.500 0.000
0.000 0.000 0.500
0.000 0.500 0.000
0.500 0.000 0.000
0.500 0.500 0.500
0.250 0.250 0.250
0.250 0.750 0.750
0.750 0.250 0.750
0.750 0.750 0.250
```

# 4
VASP calculation (PBE) on crystalline TmZrOs at its relaxed geometry.

Values from the calculation:
electronic total energy	-8.3189	eV per atom
ΔH_f (0 K)	-0.236	eV/atom
spin magnetization	0.0000	μB per atom
volume	23.5	Å³/atom

POSCAR file:
```
TmZrOs
1.0
0.000 4.670 6.550
4.611 0.000 6.550
4.611 4.670 0.000
Tm Zr Os
4 4 4
Direct
0.001 0.001 0.749
0.251 0.251 0.999
0.749 0.749 0.001
0.999 0.999 0.251
0.252 0.252 0.498
0.498 0.498 0.252
0.502 0.502 0.748
0.748 0.748 0.502
0.139 0.611 0.611
0.389 0.861 0.861
0.611 0.139 0.139
0.861 0.389 0.389
```

# 5
VASP calculation (PBE) on crystalline TmZrOs at its relaxed geometry.

Values from the calculation:
electronic total energy	-8.4156	eV per atom
ΔH_f (0 K)	-0.332	eV/atom
spin magnetization	0.0000	μB per atom
volume	21.6	Å³/atom

POSCAR file:
```
TmZrOs
1.0
7.119 0.000 0.000
-3.559 6.165 0.000
0.000 0.000 4.432
Tm Zr Os
3 3 3
Direct
0.000 0.582 0.000
0.418 0.418 0.000
0.582 0.000 0.000
0.000 0.253 0.500
0.253 0.000 0.500
0.747 0.747 0.500
0.000 0.000 0.000
0.333 0.667 0.500
0.667 0.333 0.500
```

# 6
VASP calculation (PBE) on crystalline TmZr3Os4 at its relaxed geometry.

Values from the calculation:
electronic total energy	-9.8410	eV per atom
ΔH_f (0 K)	-0.462	eV/atom
spin magnetization	0.0000	μB per atom
volume	18.0	Å³/atom

POSCAR file:
```
TmZr3Os4
1.0
4.668 0.000 0.000
0.000 4.668 0.000
0.000 0.000 6.615
Tm Zr Os
1 3 4
Direct
0.000 0.000 0.000
0.000 0.000 0.500
0.500 0.500 0.000
0.500 0.500 0.500
0.000 0.500 0.255
0.000 0.500 0.745
0.500 0.000 0.255
0.500 0.000 0.745
```

# 7
VASP calculation (PBE) on crystalline TmZrOs at its relaxed geometry.

Values from the calculation:
electronic total energy	-8.3102	eV per atom
ΔH_f (0 K)	-0.227	eV/atom
spin magnetization	0.3500	μB per atom
volume	21.4	Å³/atom

POSCAR file:
```
TmZrOs
1.0
3.335 0.000 0.000
0.000 3.335 0.000
0.000 0.000 11.532
Tm Zr Os
2 2 2
Direct
0.000 0.000 0.000
0.500 0.500 0.500
0.000 0.000 0.284
0.500 0.500 0.784
0.000 0.000 0.654
0.500 0.500 0.154
```

# 8
VASP calculation (PBE) on crystalline TmZr2Os3 at its relaxed geometry.

Values from the calculation:
electronic total energy	-9.6582	eV per atom
ΔH_f (0 K)	-0.449	eV/atom
spin magnetization	0.0000	μB per atom
volume	18.1	Å³/atom

POSCAR file:
```
TmZr2Os3
1.0
3.306 0.000 0.000
0.000 3.306 0.000
0.000 0.000 9.961
Tm Zr Os
1 2 3
Direct
0.000 0.000 0.000
0.000 0.000 0.334
0.000 0.000 0.666
0.500 0.500 0.178
0.500 0.500 0.500
0.500 0.500 0.822
```

# 9
VASP calculation (PBE) on crystalline TmZr3Os at its relaxed geometry.

Values from the calculation:
electronic total energy	-8.3521	eV per atom
ΔH_f (0 K)	-0.083	eV/atom
spin magnetization	0.0000	μB per atom
volume	24.5	Å³/atom

POSCAR file:
```
TmZr3Os
1.0
5.529 -3.926 0.000
5.529 3.926 0.000
-4.641 0.000 5.651
Tm Zr Os
2 6 2
Direct
0.046 0.046 0.307
0.954 0.954 0.693
0.112 0.503 0.270
0.426 0.426 0.728
0.497 0.888 0.730
0.503 0.112 0.270
0.574 0.574 0.272
0.888 0.497 0.730
0.270 0.270 0.913
0.730 0.730 0.087
```

# 10
VASP calculation (PBE) on crystalline TmZrOs4 at its relaxed geometry.

Values from the calculation:
electronic total energy	-9.9764	eV per atom
ΔH_f (0 K)	-0.320	eV/atom
spin magnetization	0.0000	μB per atom
volume	17.4	Å³/atom

POSCAR file:
```
TmZrOs4
1.0
0.000 3.737 3.737
3.737 0.000 3.737
3.737 3.737 0.000
Tm Zr Os
1 1 4
Direct
0.000 0.000 0.000
0.750 0.750 0.750
0.375 0.375 0.375
0.375 0.375 0.875
0.375 0.875 0.375
0.875 0.375 0.375
```

# 11
VASP calculation (PBE) on crystalline UOs3 at its relaxed geometry.

Values from the calculation:
electronic total energy	-11.1789	eV per atom
ΔH_f (0 K)	0.065	eV/atom
spin magnetization	0.0000	μB per atom
volume	16.5	Å³/atom

POSCAR file:
```
UOs3
1.0
4.037 0.000 0.000
0.000 4.037 0.000
0.000 0.000 8.074
U Os
2 6
Direct
0.000 0.000 0.000
0.500 0.500 0.500
0.000 0.000 0.500
0.000 0.500 0.250
0.000 0.500 0.750
0.500 0.000 0.250
0.500 0.000 0.750
0.500 0.500 0.000
```

# 12
VASP calculation (PBE) on crystalline U3Os2 at its relaxed geometry.

Values from the calculation:
electronic total energy	-11.1987	eV per atom
ΔH_f (0 K)	0.066	eV/atom
spin magnetization	0.0000	μB per atom
volume	19.2	Å³/atom

POSCAR file:
```
U3Os2
1.0
0.000 7.434 2.547
5.067 0.000 2.547
5.067 7.434 0.000
U Os
6 4
Direct
0.000 0.000 0.000
0.250 0.250 0.250
0.469 0.738 0.309
0.738 0.469 0.484
0.766 0.941 0.512
0.941 0.766 0.781
0.199 0.520 0.894
0.356 0.862 0.051
0.520 0.199 0.388
0.862 0.356 0.730
```

# 13
VASP calculation (PBE) on crystalline U5Os at its relaxed geometry.

Values from the calculation:
electronic total energy	-11.2378	eV per atom
ΔH_f (0 K)	0.041	eV/atom
spin magnetization	0.0001	μB per atom
volume	19.4	Å³/atom

POSCAR file:
```
U5Os
1.0
5.083 0.000 0.000
0.000 15.226 0.000
0.000 0.000 3.013
U Os
10 2
Direct
0.000 0.000 0.000
0.000 0.159 0.500
0.000 0.332 0.000
0.000 0.668 0.000
0.000 0.841 0.500
0.500 0.168 0.000
0.500 0.341 0.500
0.500 0.500 0.000
0.500 0.659 0.500
0.500 0.832 0.000
0.000 0.500 0.500
0.500 0.000 0.500
```

# 14
VASP calculation (PBE) on crystalline UOs5 at its relaxed geometry.

Values from the calculation:
electronic total energy	-11.1969	eV per atom
ΔH_f (0 K)	0.043	eV/atom
spin magnetization	0.0000	μB per atom
volume	15.9	Å³/atom

POSCAR file:
```
UOs5
1.0
3.976 0.000 0.000
0.000 12.064 0.000
0.000 0.000 3.970
U Os
2 10
Direct
0.000 0.000 0.000
0.500 0.500 0.000
0.000 0.175 0.500
0.000 0.322 0.000
0.000 0.500 0.500
0.000 0.678 0.000
0.000 0.825 0.500
0.500 0.000 0.500
0.500 0.178 0.000
0.500 0.325 0.500
0.500 0.675 0.500
0.500 0.822 0.000
```

# 15
VASP calculation (PBE) on crystalline UOs3 at its relaxed geometry.

Values from the calculation:
electronic total energy	-11.1328	eV per atom
ΔH_f (0 K)	0.112	eV/atom
spin magnetization	0.0001	μB per atom
volume	16.3	Å³/atom

POSCAR file:
```
UOs3
1.0
2.892 0.000 0.000
0.000 4.603 0.000
0.000 0.000 4.908
U Os
1 3
Direct
0.000 0.000 0.000
0.000 0.500 0.629
0.500 0.000 0.502
0.500 0.500 0.115
```

# 16
VASP calculation (PBE) on crystalline UVOs at its relaxed geometry.

Values from the calculation:
electronic total energy	-10.4512	eV per atom
ΔH_f (0 K)	0.094	eV/atom
spin magnetization	0.0957	μB per atom
volume	18.2	Å³/atom

POSCAR file:
```
UVOs
1.0
5.901 0.000 0.000
0.000 5.036 0.000
-2.666 0.000 7.349
U V Os
4 4 4
Direct
0.200 0.144 0.393
0.200 0.356 0.893
0.800 0.644 0.107
0.800 0.856 0.607
0.438 0.632 0.279
0.438 0.868 0.779
0.562 0.132 0.221
0.562 0.368 0.721
0.190 0.649 0.482
0.190 0.851 0.982
0.810 0.149 0.018
0.810 0.351 0.518
```

# 17
VASP calculation (PBE) on crystalline UVOs at its relaxed geometry.

Values from the calculation:
electronic total energy	-10.6105	eV per atom
ΔH_f (0 K)	-0.065	eV/atom
spin magnetization	0.0010	μB per atom
volume	16.7	Å³/atom

POSCAR file:
```
UVOs
1.0
2.935 0.000 0.000
0.000 2.935 0.000
0.000 0.000 11.612
U V Os
2 2 2
Direct
0.000 0.000 0.000
0.500 0.500 0.500
0.000 0.000 0.687
0.500 0.500 0.187
0.000 0.000 0.311
0.500 0.500 0.811
```

# 18
VASP calculation (PBE) on crystalline UV2Os at its relaxed geometry.

Values from the calculation:
electronic total energy	-10.0434	eV per atom
ΔH_f (0 K)	0.145	eV/atom
spin magnetization	0.5598	μB per atom
volume	16.5	Å³/atom

POSCAR file:
```
UV2Os
1.0
3.818 0.000 0.000
0.000 3.818 0.000
0.000 0.000 4.524
U V Os
1 2 1
Direct
0.000 0.000 0.000
0.000 0.500 0.500
0.500 0.000 0.500
0.500 0.500 0.000
```

# 19
VASP calculation (PBE) on crystalline UVOs at its relaxed geometry.

Values from the calculation:
electronic total energy	-10.4781	eV per atom
ΔH_f (0 K)	0.067	eV/atom
spin magnetization	0.0000	μB per atom
volume	16.1	Å³/atom

POSCAR file:
```
UVOs
1.0
4.459 0.000 0.000
-2.230 3.862 0.000
0.000 0.000 2.802
U V Os
1 1 1
Direct
0.000 0.000 0.000
0.333 0.667 0.196
0.667 0.333 0.679
```

# 20
VASP calculation (PBE) on crystalline UV2Os at its relaxed geometry.

Values from the calculation:
electronic total energy	-10.2178	eV per atom
ΔH_f (0 K)	-0.029	eV/atom
spin magnetization	0.0000	μB per atom
volume	15.9	Å³/atom

POSCAR file:
```
UV2Os
1.0
2.898 0.000 0.000
0.000 2.898 0.000
0.000 0.000 7.568
U V Os
1 2 1
Direct
0.000 0.000 0.000
0.500 0.500 0.290
0.500 0.500 0.710
0.000 0.000 0.500
```

# 21
VASP calculation (PBE) on crystalline UV2Os at its relaxed geometry.

Values from the calculation:
electronic total energy	-10.1292	eV per atom
ΔH_f (0 K)	0.060	eV/atom
spin magnetization	0.2704	μB per atom
volume	15.5	Å³/atom

POSCAR file:
```
UV2Os
1.0
6.278 0.000 0.000
0.000 6.278 0.000
0.000 0.000 6.278
U V Os
4 8 4
Direct
0.000 0.000 0.000
0.000 0.500 0.500
0.500 0.000 0.500
0.500 0.500 0.000
0.250 0.250 0.250
0.250 0.250 0.750
0.250 0.750 0.250
0.250 0.750 0.750
0.750 0.250 0.250
0.750 0.250 0.750
0.750 0.750 0.250
0.750 0.750 0.750
0.000 0.000 0.500
0.000 0.500 0.000
0.500 0.000 0.000
0.500 0.500 0.500
```

# 22
VASP calculation (PBE) on crystalline UOsW at its relaxed geometry.

Values from the calculation:
electronic total energy	-10.7110	eV per atom
ΔH_f (0 K)	1.113	eV/atom
spin magnetization	0.1741	μB per atom
volume	19.6	Å³/atom

POSCAR file:
```
UOsW
1.0
6.674 0.000 0.000
0.000 6.674 0.000
0.000 0.000 5.290
U Os W
4 4 4
Direct
0.000 0.310 0.000
0.000 0.690 0.000
0.310 0.000 0.500
0.690 0.000 0.500
0.313 0.500 0.500
0.500 0.313 0.000
0.500 0.687 0.000
0.687 0.500 0.500
0.000 0.275 0.500
0.000 0.725 0.500
0.275 0.000 0.000
0.725 0.000 0.000
```

# 23
VASP calculation (PBE) on crystalline U2OsW at its relaxed geometry.

Values from the calculation:
electronic total energy	-11.2929	eV per atom
ΔH_f (0 K)	0.397	eV/atom
spin magnetization	0.0000	μB per atom
volume	18.3	Å³/atom

POSCAR file:
```
U2OsW
1.0
2.837 0.000 0.000
-1.418 2.457 0.000
0.000 0.000 31.508
U Os W
6 3 3
Direct
0.000 0.000 0.245
0.000 0.000 0.755
0.333 0.667 0.421
0.333 0.667 0.912
0.667 0.333 0.088
0.667 0.333 0.579
0.000 0.000 0.500
0.333 0.667 0.167
0.667 0.333 0.833
0.000 0.000 0.000
0.333 0.667 0.667
0.667 0.333 0.333
```

# 24
VASP calculation (PBE) on crystalline UOsW at its relaxed geometry.

Values from the calculation:
electronic total energy	-11.7475	eV per atom
ΔH_f (0 K)	0.076	eV/atom
spin magnetization	0.0000	μB per atom
volume	17.8	Å³/atom

POSCAR file:
```
UOsW
1.0
2.974 0.000 0.000
0.000 2.974 0.000
0.000 0.000 12.071
U Os W
2 2 2
Direct
0.000 0.000 0.000
0.500 0.500 0.500
0.000 0.000 0.681
0.500 0.500 0.181
0.000 0.000 0.313
0.500 0.500 0.813
```

# 25
VASP calculation (PBE) on crystalline UOsW at its relaxed geometry.

Values from the calculation:
electronic total energy	-11.4552	eV per atom
ΔH_f (0 K)	0.369	eV/atom
spin magnetization	0.0005	μB per atom
volume	17.3	Å³/atom

POSCAR file:
```
UOsW
1.0
4.627 0.000 0.000
-2.313 4.007 0.000
0.000 0.000 2.794
U Os W
1 1 1
Direct
0.000 0.000 0.000
0.333 0.667 0.710
0.667 0.333 0.298
```

# 26
VASP calculation (PBE) on crystalline YUOs2 at its relaxed geometry.

Values from the calculation:
electronic total energy	-10.1942	eV per atom
ΔH_f (0 K)	-0.141	eV/atom
spin magnetization	0.0038	μB per atom
volume	20.0	Å³/atom

POSCAR file:
```
YUOs2
1.0
3.440 0.000 0.000
0.000 3.440 0.000
0.000 0.000 6.758
Y U Os
1 1 2
Direct
0.000 0.000 0.000
0.000 0.000 0.500
0.500 0.500 0.283
0.500 0.500 0.717
```

# 27
VASP calculation (PBE) on crystalline YUOs2 at its relaxed geometry.

Values from the calculation:
electronic total energy	-10.0388	eV per atom
ΔH_f (0 K)	0.014	eV/atom
spin magnetization	0.0004	μB per atom
volume	19.8	Å³/atom

POSCAR file:
```
YUOs2
1.0
6.551 0.000 0.000
0.000 4.842 0.000
0.000 0.000 9.998
Y U Os
4 4 8
Direct
0.000 0.000 0.000
0.000 0.500 0.500
0.500 0.000 0.175
0.500 0.500 0.675
0.201 0.000 0.711
0.201 0.500 0.211
0.799 0.000 0.711
0.799 0.500 0.211
0.000 0.000 0.284
0.000 0.500 0.784
0.303 0.000 0.466
0.303 0.500 0.966
0.500 0.000 0.886
0.500 0.500 0.386
0.697 0.000 0.466
0.697 0.500 0.966
```